{"formula": "Ba2ReRh", "functional": "meta-GGA SCAN", "state": "PBEsol geometry", "cell": [[3.404, 0.000, 0.000], [1.702, 2.948, 0.000], [1.702, 0.983, 9.745]], "species": ["Ba", "Ba", "Re", "Rh"], "frac_coords": [[0.253, 0.253, 0.240], [0.747, 0.747, 0.760], [0.500, 0.500, 0.500], [0.000, 0.000, 0.000]], "ef_ev_per_atom": 1.269, "e_above_lowest_polymorph_mev_per_atom": 913.4, "dos_ef_per_ev_fu": 3.27, "space_group": "No. 166"}